CaV4Pd3O12 | Alexandria | PBE+U | relaxed; N(E_F) = 14.81 states/eV/f.u.; DFT total energy = -6.8795 eV/atom; ρ = 5.875 g cm⁻³; space group = No. 204; spin magnetization = 0.195 μB/atom
1.0
-3.765 3.765 3.765
3.765 -3.765 3.765
3.765 3.765 -3.765
Ca V Pd O
1 4 3 12
direct
0.000 0.000 0.000 Ca
0.000 0.500 0.000 V
0.000 0.000 0.500 V
0.500 0.000 0.000 V
0.500 0.500 0.500 V
0.000 0.500 0.500 Pd
0.500 0.500 0.000 Pd
0.500 0.000 0.500 Pd
0.886 0.705 0.181 O
0.114 0.295 0.819 O
0.523 0.705 0.819 O
0.477 0.295 0.181 O
0.705 0.181 0.886 O
0.295 0.819 0.114 O
0.705 0.819 0.523 O
0.295 0.181 0.477 O
0.181 0.886 0.705 O
0.819 0.114 0.295 O
0.819 0.523 0.705 O
0.181 0.477 0.295 O